{"formula": "NdScInPd", "functional": "PBE", "state": "relaxed", "lattice": [[0.000, 3.618, 3.618], [3.618, 0.000, 3.618], [3.618, 3.618, 0.000]], "species": ["Nd", "Sc", "In", "Pd"], "fractional_positions": [[0.000, 0.000, 0.000], [0.500, 0.500, 0.500], [0.250, 0.250, 0.250], [0.750, 0.750, 0.750]], "formation_energy_ev_per_atom": -0.52, "final_energy_ev_per_atom": -5.2815, "spacegroup": "No. 216"}

=====

{"formula": "Nd3InSi2Pd9", "functional": "PBE", "state": "relaxed", "lattice": [[6.282, 0.000, 0.000], [-3.141, 5.441, 0.000], [0.000, 0.000, 9.676]], "species": ["Nd", "Nd", "Nd", "In", "Si", "Si", "Pd", "Pd", "Pd", "Pd", "Pd", "Pd", "Pd", "Pd", "Pd"], "fractional_positions": [[0.000, 0.000, 0.000], [0.333, 0.667, 0.726], [0.667, 0.333, 0.274], [0.000, 0.000, 0.500], [0.333, 0.667, 0.164], [0.667, 0.333, 0.836], [0.000, 0.500, 0.000], [0.147, 0.294, 0.273], [0.147, 0.853, 0.273], [0.294, 0.147, 0.727], [0.500, 0.000, 0.000], [0.500, 0.500, 0.000], [0.706, 0.853, 0.273], [0.853, 0.147, 0.727], [0.853, 0.706, 0.727]], "final_energy_ev_per_atom": -5.5915, "spacegroup": "No. 164"}

=====

{"formula": "NdSmInPd", "functional": "PBE", "state": "relaxed", "lattice": [[0.000, 3.748, 3.748], [3.748, 0.000, 3.748], [3.748, 3.748, 0.000]], "species": ["Nd", "Sm", "In", "Pd"], "fractional_positions": [[0.000, 0.000, 0.000], [0.500, 0.500, 0.500], [0.250, 0.250, 0.250], [0.750, 0.750, 0.750]], "formation_energy_ev_per_atom": -0.53, "final_energy_ev_per_atom": -4.8882, "spacegroup": "No. 216"}